## one
CsPr4Se6 | Alexandria | PBE | optimized geometry; density = 5.436 Mg/m³; N(E_F) = 2.36 states/eV/f.u.; symmetry = Cmcm
1.0
-4.085 0.280 1.397
1.599 -7.329 -0.556
7.423 -0.027 21.706
Cs Pr Se
2 8 12
direct
0.653 0.306 0.250 Cs
0.347 0.694 0.750 Cs
0.869 0.737 0.540 Pr
0.400 0.799 0.132 Pr
0.131 0.263 0.460 Pr
0.600 0.201 0.868 Pr
0.869 0.737 0.960 Pr
0.131 0.263 0.040 Pr
0.600 0.201 0.632 Pr
0.400 0.799 0.368 Pr
0.500 0.000 0.000 Se
0.500 0.000 0.500 Se
0.034 0.067 0.350 Se
0.966 0.933 0.650 Se
0.966 0.933 0.850 Se
0.034 0.067 0.150 Se
0.770 0.540 0.421 Se
0.230 0.460 0.579 Se
0.230 0.460 0.921 Se
0.770 0.540 0.079 Se
0.348 0.695 0.250 Se
0.652 0.305 0.750 Se



## two
CsPr4Se6 | Alexandria | PBE | optimized geometry; density = 5.436 Mg/m³; N(E_F) = 2.86 states/eV/f.u.; symmetry = I-42m
1.0
7.843 0.079 0.116
-3.556 6.990 -0.116
-3.556 -2.678 6.458
Cs Pr Se
1 4 6
direct
0.000 0.000 0.000 Cs
0.000 0.203 0.588 Pr
0.615 0.412 0.412 Pr
0.000 0.588 0.203 Pr
0.385 0.797 0.797 Pr
0.000 0.832 0.532 Se
0.000 0.532 0.832 Se
0.700 0.168 0.168 Se
0.500 0.000 0.500 Se
0.300 0.468 0.468 Se
0.500 0.500 0.000 Se



Here are the energies relative to the best structure, in meV per atom: one 0; two 255.



## one
CsPr2Se3 | Alexandria | PBE | optimized geometry; density = 5.617 Mg/m³; N(E_F) = 2.39 states/eV/f.u.; symmetry = P2_1/m
1.0
4.315 0.000 0.000
0.000 7.742 -1.731
0.000 -0.159 11.569
Cs Pr Se
2 4 6
direct
0.250 0.527 0.843 Cs
0.750 0.473 0.157 Cs
0.250 0.754 0.493 Pr
0.750 0.246 0.507 Pr
0.750 0.000 0.818 Pr
0.250 0.000 0.182 Pr
0.750 0.645 0.641 Se
0.250 0.355 0.359 Se
0.750 0.890 0.346 Se
0.250 0.110 0.654 Se
0.250 0.179 0.978 Se
0.750 0.821 0.022 Se



## two
CsPr2Se3 | Alexandria | PBE | optimized geometry; density = 5.227 Mg/m³; N(E_F) = 2.15 states/eV/f.u.; symmetry = P2_1/m
1.0
8.008 0.000 0.000
0.000 7.686 -0.732
0.000 -3.226 7.033
Cs Pr Se
2 4 6
direct
0.250 0.499 0.499 Cs
0.750 0.501 0.501 Cs
0.500 0.833 0.167 Pr
0.000 0.833 0.167 Pr
0.000 0.167 0.833 Pr
0.500 0.167 0.833 Pr
0.750 0.500 0.998 Se
0.750 0.997 0.500 Se
0.250 0.500 0.002 Se
0.750 0.002 0.002 Se
0.250 0.998 0.998 Se
0.250 0.003 0.500 Se



Here are the energies relative to the best structure, in meV per atom: one 34; two 0.



## one
Cs4Pt | Alexandria | PBE | optimized geometry; density = 3.224 Mg/m³; N(E_F) = 3.20 states/eV/f.u.; symmetry = P4/mcc
1.0
-2.967 8.061 -0.577
-5.739 -2.605 -6.872
-6.611 -1.983 6.272
Cs Pt
8 2
direct
0.500 0.651 0.237 Cs
0.000 0.651 0.763 Cs
0.000 0.763 0.349 Cs
0.500 0.763 0.651 Cs
0.000 0.237 0.651 Cs
0.500 0.237 0.349 Cs
0.000 0.349 0.237 Cs
0.500 0.349 0.763 Cs
0.750 0.500 0.500 Pt
0.250 0.500 0.500 Pt



## two
Cs4Pt | Alexandria | PBE | optimized geometry; density = 3.436 Mg/m³; N(E_F) = 2.20 states/eV/f.u.; symmetry = Pm-3m
1.0
-4.938 2.988 -4.058
-1.536 -6.304 -2.772
-4.799 -1.057 5.063
Cs Pt
4 1
direct
0.000 0.000 0.000 Cs
0.500 0.000 0.500 Cs
0.000 0.500 0.500 Cs
0.500 0.500 0.000 Cs
0.500 0.500 0.500 Pt



Here are the energies relative to the best structure, in meV per atom: one 0; two 43.



## one
CsRbPt2 | Alexandria | PBE | optimized geometry; density = 5.959 Mg/m³; N(E_F) = 5.04 states/eV/f.u.; symmetry = P2_1/m
1.0
-1.790 2.893 -2.858
4.302 -3.058 -5.789
-6.244 -7.783 -0.529
Cs Rb Pt
2 2 4
direct
0.873 0.750 0.746 Cs
0.127 0.250 0.254 Cs
0.636 0.750 0.270 Rb
0.364 0.250 0.730 Rb
0.250 0.587 0.500 Pt
0.750 0.413 0.500 Pt
0.750 0.087 0.500 Pt
0.250 0.913 0.500 Pt



## two
CsRbPt2 | Alexandria | PBE | optimized geometry; density = 8.139 Mg/m³; N(E_F) = 3.15 states/eV/f.u.; symmetry = Fm-3m
1.0
0.000 3.960 3.960
3.960 0.000 3.960
3.960 3.960 0.000
Cs Rb Pt
1 1 2
direct
0.500 0.500 0.500 Cs
0.000 0.000 0.000 Rb
0.250 0.250 0.250 Pt
0.750 0.750 0.750 Pt



## three
CsRbPt2 | Alexandria | PBE | optimized geometry; density = 6.861 Mg/m³; N(E_F) = 2.44 states/eV/f.u.; symmetry = I-42d
1.0
-1.454 -2.972 3.845
4.287 1.107 2.476
-3.751 8.002 8.113
Cs Rb Pt
2 2 4
direct
0.000 0.000 0.000 Cs
0.750 0.250 0.500 Cs
0.500 0.500 0.000 Rb
0.250 0.750 0.500 Rb
0.944 0.125 0.250 Pt
0.806 0.625 0.250 Pt
0.375 0.056 0.750 Pt
0.875 0.194 0.750 Pt



Here are the energies relative to the best structure, in meV per atom: one 0; two 827; three 471.



## one
CsRb3Pt | Alexandria | PBE | optimized geometry; density = 2.230 Mg/m³; N(E_F) = 0.94 states/eV/f.u.; symmetry = Pm-3m
1.0
7.578 0.000 0.000
0.000 7.578 0.000
0.000 0.000 7.578
Cs Rb Pt
1 3 1
direct
0.000 0.000 0.000 Cs
0.000 0.500 0.000 Rb
0.000 0.000 0.500 Rb
0.500 0.000 0.000 Rb
0.500 0.500 0.500 Pt



## two
CsRb3Pt | Alexandria | PBE | optimized geometry; density = 3.109 Mg/m³; N(E_F) = 0.95 states/eV/f.u.; symmetry = Pm-3m
1.0
6.784 0.000 0.000
0.000 6.784 0.000
0.000 0.000 6.784
Cs Rb Pt
1 3 1
direct
0.500 0.500 0.500 Cs
0.000 0.500 0.000 Rb
0.000 0.000 0.500 Rb
0.500 0.000 0.000 Rb
0.000 0.000 0.000 Pt



Here are the energies relative to the best structure, in meV per atom: one 886; two 0.



## one
Cs3RbPt | Alexandria | PBE | optimized geometry; density = 3.313 Mg/m³; N(E_F) = 0.00 states/eV/f.u.; symmetry = Pm-3m
1.0
6.983 0.000 0.000
0.000 6.983 0.000
0.000 0.000 6.983
Cs Rb Pt
3 1 1
direct
0.000 0.500 0.000 Cs
0.000 0.000 0.500 Cs
0.500 0.000 0.000 Cs
0.500 0.500 0.500 Rb
0.000 0.000 0.000 Pt



## two
Cs3RbPt | Alexandria | PBE | optimized geometry; density = 2.373 Mg/m³; N(E_F) = 13.17 states/eV/f.u.; symmetry = Pm-3m
1.0
-5.069 -2.604 5.332
3.941 -6.720 0.465
4.437 2.995 5.680
Cs Rb Pt
3 1 1
direct
0.000 0.500 0.000 Cs
0.000 0.000 0.500 Cs
0.500 0.000 0.000 Cs
0.000 0.000 0.000 Rb
0.500 0.500 0.500 Pt



Here are the energies relative to the best structure, in meV per atom: one 0; two 804.



## one
Cs2RbPt | Alexandria | PBE | optimized geometry; density = 3.678 Mg/m³; N(E_F) = 1.58 states/eV/f.u.; symmetry = R3m
1.0
-4.482 2.498 2.222
-5.073 -0.917 -2.165
-4.319 -6.532 5.666
Cs Rb Pt
2 1 1
direct
0.043 0.043 0.872 Cs
0.285 0.285 0.146 Cs
0.523 0.523 0.430 Rb
0.650 0.650 0.051 Pt



## two
Cs2RbPt | Alexandria | PBE | optimized geometry; density = 5.328 Mg/m³; N(E_F) = 4.70 states/eV/f.u.; symmetry = Fm-3m
1.0
0.375 -4.745 -4.006
-4.981 -1.651 -3.342
-0.135 1.082 -6.125
Cs Rb Pt
2 1 1
direct
0.250 0.250 0.250 Cs
0.750 0.750 0.750 Cs
0.000 0.000 0.000 Rb
0.500 0.500 0.500 Pt



Here are the energies relative to the best structure, in meV per atom: one 0; two 172.



## one
CsRbSr2Pt | Alexandria | PBE | optimized geometry; density = 3.679 Mg/m³; N(E_F) = 4.05 states/eV/f.u.; symmetry = P4/mmm
1.0
6.063 0.000 0.000
0.000 6.063 0.000
0.000 0.000 7.229
Cs Sr Rb Pt
1 2 1 1
direct
0.000 0.000 0.500 Cs
0.000 0.500 0.000 Sr
0.500 0.000 0.000 Sr
0.500 0.500 0.500 Rb
0.000 0.000 0.000 Pt



## two
CsRbSr2Pt | Alexandria | PBE | optimized geometry; density = 3.125 Mg/m³; N(E_F) = 3.36 states/eV/f.u.; symmetry = P4/mmm
1.0
-0.348 -6.748 -3.110
5.613 -0.501 0.460
-0.825 -3.059 6.729
Cs Sr Rb Pt
1 2 1 1
direct
0.000 0.000 0.000 Cs
0.000 0.000 0.500 Sr
0.500 0.000 0.000 Sr
0.500 0.500 0.500 Rb
0.000 0.500 0.000 Pt



Here are the energies relative to the best structure, in meV per atom: one 0; two 930.



## one
CsRb2TlPt | Alexandria | PBE | optimized geometry; density = 4.492 Mg/m³; N(E_F) = 2.26 states/eV/f.u.; symmetry = P4/mmm
1.0
7.008 0.000 0.000
0.000 7.008 0.000
0.000 0.000 5.294
Cs Tl Rb Pt
1 1 2 1
direct
0.500 0.500 0.500 Cs
0.000 0.000 0.000 Tl
0.000 0.500 0.000 Rb
0.500 0.000 0.000 Rb
0.000 0.000 0.500 Pt



## two
CsRb2TlPt | Alexandria | PBE | optimized geometry; density = 4.791 Mg/m³; N(E_F) = 2.20 states/eV/f.u.; symmetry = P4/mmm
1.0
6.715 0.000 0.000
0.000 6.715 0.000
0.000 0.000 5.405
Cs Tl Rb Pt
1 1 2 1
direct
0.500 0.500 0.500 Cs
0.000 0.000 0.500 Tl
0.000 0.500 0.000 Rb
0.500 0.000 0.000 Rb
0.000 0.000 0.000 Pt



## three
CsRb2TlPt | Alexandria | PBE | optimized geometry; density = 4.176 Mg/m³; N(E_F) = 3.91 states/eV/f.u.; symmetry = P4/mmm
1.0
-1.120 -6.327 -0.823
1.284 0.595 -6.321
6.429 -1.292 1.185
Cs Tl Rb Pt
1 1 2 1
direct
0.000 0.000 0.500 Cs
0.500 0.500 0.500 Tl
0.000 0.500 0.000 Rb
0.500 0.000 0.000 Rb
0.000 0.000 0.000 Pt



Here are the energies relative to the best structure, in meV per atom: one 146; two 0; three 214.



## one
CsRe3Pt | Alexandria | PBE | optimized geometry; density = 13.249 Mg/m³; N(E_F) = 8.56 states/eV/f.u.; symmetry = Pm-3m
1.0
-1.910 3.222 -3.014
-4.346 -0.808 1.890
0.760 3.475 3.234
Cs Re Pt
1 3 1
direct
0.000 0.000 0.000 Cs
0.000 0.500 0.000 Re
0.000 0.000 0.500 Re
0.500 0.000 0.000 Re
0.500 0.500 0.500 Pt



## two
CsRe3Pt | Alexandria | PBE | optimized geometry; density = 12.003 Mg/m³; N(E_F) = 8.66 states/eV/f.u.; symmetry = Pm-3m
1.0
-2.654 3.101 -2.833
-4.104 -1.201 2.530
0.894 3.691 3.203
Cs Re Pt
1 3 1
direct
0.500 0.500 0.500 Cs
0.000 0.500 0.000 Re
0.000 0.000 0.500 Re
0.500 0.000 0.000 Re
0.000 0.000 0.000 Pt



Here are the energies relative to the best structure, in meV per atom: one 1582; two 0.



## one
Cs2RePt | Alexandria | PBE | optimized geometry; density = 8.629 Mg/m³; N(E_F) = 2.71 states/eV/f.u.; symmetry = Fm-3m
1.0
0.000 3.963 3.963
3.963 0.000 3.963
3.963 3.963 0.000
Cs Re Pt
2 1 1
direct
0.250 0.250 0.250 Cs
0.750 0.750 0.750 Cs
0.000 0.000 0.000 Re
0.500 0.500 0.500 Pt



## two
Cs2RePt | Alexandria | PBE | optimized geometry; density = 5.220 Mg/m³; N(E_F) = 3.86 states/eV/f.u.; symmetry = I-42d
1.0
7.079 -2.079 5.993
-9.035 2.517 -1.546
-1.456 -9.076 -2.420
Cs Re Pt
4 2 2
direct
0.625 0.960 0.835 Cs
0.125 0.790 0.165 Cs
0.040 0.875 0.665 Cs
0.210 0.375 0.335 Cs
0.500 0.500 0.000 Re
0.750 0.250 0.500 Re
0.000 0.000 0.000 Pt
0.250 0.750 0.500 Pt



Here are the energies relative to the best structure, in meV per atom: one 776; two 0.



## one
CsRePt3 | Alexandria | PBE | optimized geometry; density = 12.059 Mg/m³; N(E_F) = 5.86 states/eV/f.u.; symmetry = Pm-3m
1.0
-4.328 -1.850 -1.668
-0.357 -2.849 4.086
-2.465 3.660 2.337
Cs Re Pt
1 1 3
direct
0.500 0.500 0.500 Cs
0.000 0.000 0.000 Re
0.000 0.500 0.000 Pt
0.000 0.000 0.500 Pt
0.500 0.000 0.000 Pt



## two
CsRePt3 | Alexandria | PBE | optimized geometry; density = 10.961 Mg/m³; N(E_F) = 8.98 states/eV/f.u.; symmetry = Pm-3m
1.0
5.155 0.000 0.000
0.000 5.155 0.000
0.000 0.000 5.155
Cs Re Pt
1 1 3
direct
0.000 0.000 0.000 Cs
0.500 0.500 0.500 Re
0.000 0.500 0.000 Pt
0.000 0.000 0.500 Pt
0.500 0.000 0.000 Pt



Here are the energies relative to the best structure, in meV per atom: one 0; two 2151.